Material: RbTbV2O6
Method: DFT, PBE+U
State: optimized geometry

Geometry as POSCAR:
```
RbTbV2O6
1.0
0.148 -5.698 -4.782
7.023 -1.834 1.632
-2.918 -2.582 4.684
O V Tb Rb
12 4 2 2
Direct
0.099 0.611 0.766
0.153 0.175 0.541
0.541 0.679 0.120
0.847 0.825 0.459
0.611 0.099 0.266
0.459 0.321 0.880
0.825 0.847 0.959
0.901 0.389 0.234
0.679 0.541 0.620
0.321 0.459 0.380
0.389 0.901 0.734
0.175 0.153 0.041
0.872 0.694 0.694
0.694 0.872 0.194
0.306 0.128 0.806
0.128 0.306 0.306
0.402 0.598 0.750
0.598 0.402 0.250
0.180 0.820 0.250
0.820 0.180 0.750
```

Computed properties:
Total magnetic moment, μB per cell: 4.0
Space group: No. 15
Energy, eV/cell: -147.95